First-principles (PBEsol) data for crystalline Li2Be2Ir at its relaxed geometry, as listed in the Alexandria database.

Properties
Formation energy in eV/atom: 0.1058
DFT total energy in eV per atom: -4.246

a = 3.2094 Å, b = 5.9041 Å, c = 5.9041 Å
α = 90.00°, β = 90.00°, γ = 90.00°
Closest atoms and distances in Å follow each position.
Sites, in units of the cell vectors:
Ir1 0.0000 0.5000 0.5000  4 Be 2.27
Ir2 0.0000 0.0000 0.0000  4 Be 2.27
Be1 0.0000 0.1426 0.3574  6 Li 2.26-2.43, 2 Ir 2.27, 1 Be 2.38
Be2 0.0000 0.3574 0.8574  6 Li 2.26-2.43, 2 Ir 2.27, 1 Be 2.38
Be3 0.0000 0.6426 0.1426  6 Li 2.26-2.43, 2 Ir 2.27, 1 Be 2.38
Be4 0.0000 0.8574 0.6426  6 Li 2.26-2.43, 2 Ir 2.27, 1 Be 2.38
Li1 0.5000 0.1665 0.6665  6 Be 2.26-2.43
Li2 0.5000 0.3335 0.1665  6 Be 2.26-2.43
Li3 0.5000 0.6665 0.8335  6 Be 2.26-2.43
Li4 0.5000 0.8335 0.3335  6 Be 2.26-2.43